## EuTm3O (PBE)

Data for an optimized crystal structure of EuTm3O.

As for the total magnetization: 7.7 μB/f.u. The density of states at the Fermi level is 0.970 states/eV/atom. The formation energy (no corrections) is -4.88 eV per formula unit.

The space group is Pm-3m (No. 221) and the conventional cell measures 4.923, 4.923 and 4.923 Å, with angles of 90.00, 90.00 and 90.00 degrees. The distinct sites, in fractional coordinates, are Eu at (0.000, 0.000, 0.000), Tm at (0.000, 0.500, 0.500) and O at (0.500, 0.500, 0.500).

## EuTm2O4 (PBE)

Data for an optimized crystal structure of EuTm2O4.

As for the total magnetization: 7.0 μB/f.u. The density of states at the Fermi level is 1.406 states/eV/atom. The formation energy (no corrections) is -23.78 eV per formula unit.

The space group is Pnma (No. 62) and the conventional cell measures 9.988, 3.361 and 11.825 Å, with angles of 90.00, 90.00 and 90.00 degrees. The distinct sites, in fractional coordinates, are Eu at (0.247, 0.250, 0.150), Tm at (0.075, 0.250, 0.388), Tm at (0.078, 0.250, 0.890), O at (0.017, 0.750, 0.784), O at (0.077, 0.250, 0.577), O at (0.125, 0.750, 0.021) and O at (0.210, 0.750, 0.327).

Copy entry 1 word for word.
## EuTm3O (PBE)

Data for an optimized crystal structure of EuTm3O.

As for the total magnetization: 7.7 μB/f.u. The density of states at the Fermi level is 0.970 states/eV/atom. The formation energy (no corrections) is -4.88 eV per formula unit.

The space group is Pm-3m (No. 221) and the conventional cell measures 4.923, 4.923 and 4.923 Å, with angles of 90.00, 90.00 and 90.00 degrees. The distinct sites, in fractional coordinates, are Eu at (0.000, 0.000, 0.000), Tm at (0.000, 0.500, 0.500) and O at (0.500, 0.500, 0.500).